First-principles (PBE) data for a geometry-optimized Fe2ReAs structure, as listed in Alexandria via LeMat-Bulk.

abc: 3.029 3.029 5.723
angles: 90.00 90.00 90.00
Atoms (fractional coordinates):
Fe: 0.000 0.000 0.000
Fe: 0.500 0.500 0.222
Re: 0.000 0.000 0.491
As: 0.500 0.500 0.760

Values from the calculation:
volume	52.5	Å³/f.u.
energy of formation	0.1575	eV/atom
polymorph energy (0 for the lowest one)	32	meV per atom
space-group type	P4mm
mass density	11.793	g/cm³
raw total energy	-33.39	eV/cell
crystal system	tetragonal
DOS at the Fermi energy	3.41	states/eV per cell